# InSbPb2

InSbPb2 at its PBEsol-relaxed geometry (meta-GGA SCAN, Alexandria via LeMat-Bulk).

Summary:
- polymorph energy (0 for the lowest one) (meV per atom) = 11
- energy relative to the elements, uncorrected (eV per atom) = 0.078
- N(E_F) (states/eV/atom) = 0.5425
- magnetization (μB per cell) = 0.0

Cell: 4.7303 4.8832 4.8832 Å, 90.00 90.00 90.00°
With the nearest neighbours (Å) after each atom.
Positions (direct):
Sb  0.5000  0.5000  0.5000  8 Pb 3.40, 4 In 3.45
Pb  0.0000  0.0000  0.5000  4 In 3.40, 4 Sb 3.40, 4 Pb 3.45
Pb  0.0000  0.5000  0.0000  4 In 3.40, 4 Sb 3.40, 4 Pb 3.45
In  0.5000  0.0000  0.0000  8 Pb 3.40, 4 Sb 3.45

# InSbPb2

InSbPb2 at its PBEsol-relaxed geometry (meta-GGA SCAN, Alexandria via LeMat-Bulk).

Summary:
- polymorph energy (0 for the lowest one) (meV per atom) = 20
- energy relative to the elements, uncorrected (eV per atom) = 0.087
- N(E_F) (states/eV/atom) = 0.4706
- magnetization (μB per cell) = 0.0

Cell: 3.4248 4.7429 6.9053 Å, 90.00 90.00 90.00°
With the nearest neighbours (Å) after each atom.
Positions (direct):
Pb  0.5000  0.5000  0.2580  2 In 3.34-3.57, 4 Sb 3.41, 6 Pb 3.42-3.47
Pb  0.0000  0.0000  0.9886  2 Sb 3.29-3.61, 4 In 3.39, 6 Pb 3.42-3.47
In  0.5000  0.5000  0.7417  4 Sb 3.33, 6 Pb 3.34-3.57, 2 In 3.42
Sb  0.0000  0.0000  0.5117  6 Pb 3.29-3.61, 4 In 3.33, 2 Sb 3.42

# InSbPb2

InSbPb2 at its PBEsol-relaxed geometry (meta-GGA SCAN, Alexandria via LeMat-Bulk).

Summary:
- polymorph energy (0 for the lowest one) (meV per atom) = 42
- energy relative to the elements, uncorrected (eV per atom) = 0.109
- N(E_F) (states/eV/atom) = 0.6538
- magnetization (μB per cell) = 0.0

Cell: 5.4102 5.4102 5.4102 Å, 60.00 60.00 60.00°
With the nearest neighbours (Å) after each atom.
Positions (direct):
Sb  0.2500  0.2500  0.2500  4 In 3.31, 4 Pb 3.31
Pb  0.0000  0.0000  0.0000  4 Pb 3.31, 4 Sb 3.31
Pb  0.7500  0.7500  0.7500  4 In 3.31, 4 Pb 3.31
In  0.5000  0.5000  0.5000  4 Pb 3.31, 4 Sb 3.31

# In2SbPb

In2SbPb at its PBEsol-relaxed geometry (meta-GGA SCAN, Alexandria via LeMat-Bulk).

Summary:
- polymorph energy (0 for the lowest one) (meV per atom) = 6
- energy relative to the elements, uncorrected (eV per atom) = 0.082
- N(E_F) (states/eV/atom) = 0.4293
- magnetization (μB per cell) = 0.0

Cell: 3.2106 5.2325 6.5340 Å, 90.00 100.35 90.00°
With the nearest neighbours (Å) after each atom.
Positions (direct):
Pb  0.5000  0.5000  0.0000  2 Pb 3.21, 2 Sb 3.27, 8 In 3.46-3.50
In  0.0788  0.0000  0.2557  4 In 3.21-3.32, 2 Sb 3.23, 4 Pb 3.46-3.50
In  0.9212  0.0000  0.7443  4 In 3.21-3.32, 2 Sb 3.23, 4 Pb 3.46-3.50
Sb  0.5000  0.5000  0.5000  2 Sb 3.21, 4 In 3.23, 2 Pb 3.27